[1]
A plane-wave DFT calculation with PBE was carried out for crystalline La3Dy4Th2 at its relaxed geometry.

Its total energy is -5.32 eV/atom. The density of states at the Fermi level is 13.1 states/eV per cell. The calculation puts the energy of formation at 0.019 eV per atom. Its crystal system is monoclinic.

```
La3Dy4Th2
1.0
3.556 0.000 -0.766
-0.772 8.960 -3.585
0.214 -0.607 9.637
La Dy Th
3 4 2
direct
0.851 0.328 0.701 La
0.149 0.672 0.299 La
0.000 0.000 0.000 La
0.817 0.672 0.635 Dy
0.183 0.328 0.365 Dy
0.483 0.672 0.966 Dy
0.517 0.328 0.034 Dy
0.669 0.004 0.337 Th
0.331 0.996 0.663 Th
```


[2]
A plane-wave DFT calculation with PBE was carried out for crystalline LaMg2NiPb at its relaxed geometry.

Its total energy is -3.78 eV/atom. The density of states at the Fermi level is 2.0 states/eV per cell. As for the energy relative to the lowest polymorph listed for this composition: 0 meV/atom. The calculation puts the energy of formation at -0.258 eV per atom. Its crystal system is tetragonal.

```
LaMg2NiPb
1.0
-1.730 0.757 4.625
1.267 -4.671 1.238
4.639 1.647 1.466
Pb Ni Mg La
1 1 2 1
direct
0.500 0.500 0.500 Pb
0.000 0.000 0.000 Ni
0.000 0.500 0.000 Mg
0.500 0.000 0.000 Mg
0.000 0.000 0.500 La
```


[3]
A plane-wave DFT calculation with PBE was carried out for crystalline HfMnCo at its relaxed geometry.

Its total energy is -9.05 eV/atom. The density of states at the Fermi level is 6.9 states/eV per cell. As for the energy relative to the lowest polymorph listed for this composition: 0 meV/atom. The calculation puts the energy of formation at -0.311 eV per atom. Its crystal system is orthorhombic.

```
HfMnCo
1.0
-0.801 4.654 1.271
-4.546 1.849 -0.228
-2.337 1.021 4.199
Hf Mn Co
2 2 2
direct
0.876 0.374 0.374 Hf
0.124 0.626 0.626 Hf
0.000 0.000 0.000 Mn
0.500 0.000 0.000 Mn
0.500 0.500 0.000 Co
0.500 0.000 0.500 Co
```


[4]
A plane-wave DFT calculation with PBE was carried out for crystalline Tb2Ga2Rh5Pb at its relaxed geometry.

Its total energy is -6.32 eV/atom. The density of states at the Fermi level is 5.9 states/eV per cell. The calculation puts the energy of formation at -0.741 eV per atom. Its crystal system is tetragonal.

```
Tb2Ga2Rh5Pb
1.0
3.654 0.000 0.000
0.000 9.861 0.000
0.000 0.000 9.861
Tb Ga Rh Pb
4 4 10 2
direct
0.000 0.675 0.175 Tb
0.000 0.325 0.825 Tb
0.000 0.175 0.325 Tb
0.000 0.825 0.675 Tb
0.000 0.122 0.622 Ga
0.000 0.878 0.378 Ga
0.000 0.622 0.878 Ga
0.000 0.378 0.122 Ga
0.500 0.211 0.070 Rh
0.500 0.789 0.930 Rh
0.500 0.070 0.789 Rh
0.500 0.711 0.430 Rh
0.500 0.930 0.211 Rh
0.500 0.289 0.570 Rh
0.500 0.570 0.711 Rh
0.500 0.430 0.289 Rh
0.500 0.500 0.000 Rh
0.500 0.000 0.500 Rh
0.000 0.000 0.000 Pb
0.000 0.500 0.500 Pb
```


[5]
A plane-wave DFT calculation with PBE was carried out for crystalline Tm3Te3C at its relaxed geometry.

Its total energy is -5.29 eV/atom. The density of states at the Fermi level is 4.4 states/eV per cell. The calculation puts the formation energy without anion corrections at -0.707 eV per atom. Its crystal system is orthorhombic.

```
Tm3Te3C
1.0
-3.428 2.682 -4.248
-1.751 -8.257 -3.800
-5.581 3.317 6.598
Tm Te C
6 6 2
direct
0.750 0.614 0.807 Tm
0.750 0.193 0.386 Tm
0.750 0.193 0.808 Tm
0.250 0.386 0.193 Tm
0.250 0.807 0.614 Tm
0.250 0.807 0.192 Tm
0.250 0.627 0.813 Te
0.250 0.186 0.373 Te
0.250 0.186 0.814 Te
0.750 0.373 0.187 Te
0.750 0.814 0.627 Te
0.750 0.814 0.186 Te
0.750 0.333 0.667 C
0.250 0.667 0.333 C
```


[6]
A plane-wave DFT calculation with PBE was carried out for crystalline TlSb2Pb at its relaxed geometry.

Its total energy is -3.45 eV/atom. The density of states at the Fermi level is 2.2 states/eV per cell. The calculation puts the formation energy without anion corrections at 0.132 eV per atom. Its crystal system is cubic.

```
TlSb2Pb
1.0
0.000 3.896 3.896
3.896 0.000 3.896
3.896 3.896 0.000
Pb Sb Tl
1 2 1
direct
0.500 0.500 0.500 Pb
0.250 0.250 0.250 Sb
0.750 0.750 0.750 Sb
0.000 0.000 0.000 Tl
```


[7]
A plane-wave DFT calculation with PBE was carried out for crystalline CsLaSe2O6 at its relaxed geometry.

Its total energy is -6.03 eV/atom. The density of states at the Fermi level is 0.0 states/eV per cell. The calculation puts the formation energy without anion corrections at -1.783 eV per atom. Its crystal system is monoclinic.

```
CsLaSe2O6
1.0
-5.176 4.421 -2.220
-3.534 -3.798 4.934
4.656 4.898 4.559
Cs La Se O
2 2 4 12
direct
0.165 0.835 0.250 Cs
0.835 0.165 0.750 Cs
0.563 0.437 0.250 La
0.437 0.563 0.750 La
0.326 0.091 0.801 Se
0.909 0.674 0.699 Se
0.674 0.909 0.199 Se
0.091 0.326 0.301 Se
0.910 0.447 0.245 O
0.553 0.090 0.255 O
0.090 0.553 0.755 O
0.447 0.910 0.745 O
0.185 0.278 0.124 O
0.722 0.815 0.376 O
0.815 0.722 0.876 O
0.278 0.185 0.624 O
0.298 0.514 0.432 O
0.486 0.702 0.068 O
0.702 0.486 0.568 O
0.514 0.298 0.932 O
```


[8]
A plane-wave DFT calculation with PBE was carried out for crystalline Ac2As2Pt3 at its relaxed geometry.

Its total energy is -6.09 eV/atom. The density of states at the Fermi level is 3.6 states/eV per cell. The calculation puts the energy of formation at -0.994 eV per atom. Its crystal system is monoclinic.

```
Ac2As2Pt3
1.0
4.572 0.000 0.000
-2.286 5.401 0.496
0.000 -1.896 6.408
Ac As Pt
2 2 3
direct
0.882 0.763 0.220 Ac
0.118 0.237 0.780 Ac
0.811 0.621 0.691 As
0.189 0.379 0.309 As
0.500 0.000 0.000 Pt
0.611 0.223 0.400 Pt
0.389 0.777 0.600 Pt
```


[9]
A plane-wave DFT calculation with PBE was carried out for crystalline Sm2Er4Tm3 at its relaxed geometry.

Its total energy is -4.47 eV/atom. The density of states at the Fermi level is 24.6 states/eV per cell. The calculation puts the energy of formation at 0.098 eV per atom. Its crystal system is monoclinic.

```
Sm2Er4Tm3
1.0
5.758 1.630 1.167
2.359 10.872 0.701
2.359 4.167 10.067
Sm Er Tm
4 8 6
direct
0.421 0.233 0.524 Sm
0.079 0.476 0.767 Sm
0.579 0.767 0.476 Sm
0.921 0.524 0.233 Sm
0.421 0.905 0.188 Er
0.079 0.812 0.095 Er
0.579 0.095 0.812 Er
0.921 0.188 0.905 Er
0.083 0.145 0.425 Er
0.417 0.575 0.855 Er
0.917 0.855 0.575 Er
0.583 0.425 0.145 Er
0.762 0.068 0.263 Tm
0.738 0.737 0.932 Tm
0.238 0.932 0.737 Tm
0.262 0.263 0.068 Tm
0.250 0.597 0.403 Tm
0.750 0.403 0.597 Tm
```


[10]
A plane-wave DFT calculation with PBE was carried out for crystalline MgScBiPt2 at its relaxed geometry.

Its total energy is -4.19 eV/atom. The density of states at the Fermi level is 5.7 states/eV per cell. The calculation puts the energy of formation at 0.589 eV per atom. Its crystal system is tetragonal.

```
MgScBiPt2
1.0
5.150 0.000 0.000
0.000 5.060 0.000
0.000 0.000 5.150
Sc Mg Bi Pt
1 1 1 2
direct
0.500 0.500 0.500 Sc
0.000 0.500 0.000 Mg
0.000 0.000 0.000 Bi
0.000 0.000 0.500 Pt
0.500 0.000 0.000 Pt
```


[11]
A plane-wave DFT calculation with PBE was carried out for crystalline CaDyHo4Se8 at its relaxed geometry.

Its total energy is -5.56 eV/atom. The density of states at the Fermi level is 3.5 states/eV per cell. The calculation puts the formation energy without anion corrections at -1.793 eV per atom. Its crystal system is trigonal.

```
CaDyHo4Se8
1.0
-0.796 -7.740 3.235
0.974 -6.754 -4.945
6.793 -4.920 0.876
Ca Dy Ho Se
1 1 4 8
direct
0.375 0.375 0.875 Ca
0.002 0.002 0.994 Dy
0.625 0.625 0.125 Ho
0.002 0.494 0.502 Ho
0.494 0.002 0.502 Ho
0.002 0.002 0.502 Ho
0.241 0.780 0.739 Se
0.780 0.241 0.739 Se
0.241 0.241 0.739 Se
0.240 0.240 0.281 Se
0.757 0.227 0.259 Se
0.227 0.757 0.259 Se
0.757 0.757 0.259 Se
0.758 0.758 0.726 Se
```


[12]
A plane-wave DFT calculation with PBE was carried out for crystalline Na2Ta2Pt at its relaxed geometry.

Its total energy is -5.20 eV/atom. The density of states at the Fermi level is 12.6 states/eV per cell. As for the energy relative to the lowest polymorph listed for this composition: 333 meV/atom. The calculation puts the energy of formation at 1.275 eV per atom. Its crystal system is tetragonal.

```
Na2Ta2Pt
1.0
-6.019 5.390 -2.919
-5.804 -3.696 5.144
0.648 1.833 2.049
Na Pt Ta
4 2 4
direct
0.306 0.806 0.000 Na
0.806 0.694 0.000 Na
0.694 0.194 0.000 Na
0.194 0.306 0.000 Na
0.000 0.000 0.000 Pt
0.500 0.500 0.000 Pt
0.103 0.603 0.500 Ta
0.603 0.897 0.500 Ta
0.897 0.397 0.500 Ta
0.397 0.103 0.500 Ta
```